Entry 1:
A plane-wave DFT calculation with PBE was carried out for an optimized crystal structure of TmThTcRu.

```
TmThTcRu
1.0
0.000 3.457 3.457
3.457 0.000 3.457
3.457 3.457 0.000
Tm Th Tc Ru
1 1 1 1
Direct
0.000 0.000 0.000
0.500 0.500 0.500
0.750 0.750 0.750
0.250 0.250 0.250
```

## Properties
mass density = 12.06 Mg/m³
energy relative to the elements = -278 meV per atom
E_tot = -8.161 eV/atom

Entry 2:
A plane-wave DFT calculation with PBE was carried out for an optimized crystal structure of CaZn2Cr.

```
CaZn2Cr
1.0
1.469 0.848 9.331
-1.469 0.848 9.331
0.000 -1.696 9.331
Ca Zn Cr
1 2 1
Direct
0.000 0.000 0.000
0.238 0.238 0.238
0.492 0.492 0.492
0.754 0.754 0.754
```

## Properties
mass density = 5.31 Mg/m³
energy relative to the elements = 625 meV per atom
E_tot = -2.918 eV/atom

Entry 3:
A plane-wave DFT calculation with PBE was carried out for an optimized crystal structure of KNaTl2Cd.

```
KNaTl2Cd
1.0
5.750 0.000 0.000
0.000 5.750 0.000
0.000 0.000 5.881
K Na Tl Cd
1 1 2 1
Direct
0.000 0.000 0.000
0.500 0.500 0.000
0.000 0.500 0.500
0.500 0.000 0.500
0.500 0.500 0.500
```

## Properties
mass density = 4.98 Mg/m³
energy relative to the elements = 62 meV per atom
E_tot = -1.551 eV/atom

Copy entry 3 word for word.
A plane-wave DFT calculation with PBE was carried out for an optimized crystal structure of KNaTl2Cd.

```
KNaTl2Cd
1.0
5.750 0.000 0.000
0.000 5.750 0.000
0.000 0.000 5.881
K Na Tl Cd
1 1 2 1
Direct
0.000 0.000 0.000
0.500 0.500 0.000
0.000 0.500 0.500
0.500 0.000 0.500
0.500 0.500 0.500
```

## Properties
mass density = 4.98 Mg/m³
energy relative to the elements = 62 meV per atom
E_tot = -1.551 eV/atom